1.
Entry from Alexandria: AcLuSc2 after structural relaxation (GGA-PBE).

Structure (POSCAR):
```
AcLuSc2
1.0
3.954 0.000 0.000
0.000 3.954 0.000
0.000 0.000 7.752
Ac Lu Sc
1 1 2
Cartesian
0.000 0.000 0.000
0.000 0.000 3.876
1.977 1.977 2.159
1.977 1.977 5.592
```

Output
The total energy is -5.230 eV/atom. The calculation puts the formation energy at 93 meV/atom. The magnetization comes out at 0.00 μB/f.u. The value obtained for the energy above the most stable polymorph in this dataset is 0.00 eV per formula unit.

=====

2.
Entry from Alexandria: MgNiPt3 after structural relaxation (GGA-PBE).

Structure (POSCAR):
```
MgNiPt3
1.0
4.580 0.000 0.000
0.000 4.580 0.000
0.000 0.000 4.580
Mg Ni Pt
1 1 3
Cartesian
0.000 0.000 0.000
2.290 2.290 2.290
0.000 2.290 2.290
2.290 0.000 2.290
2.290 2.290 0.000
```

Output
The total energy is -4.600 eV/atom. The calculation puts the formation energy at 500 meV/atom. The magnetization comes out at 1.02 μB/f.u. The value obtained for the energy above the most stable polymorph in this dataset is 4.51 eV per formula unit.

=====

- Which of these has the lowest formation energy?
  AcLuSc2

=====

- The lowest energy above the most stable polymorph in this dataset belongs to which entry?
  AcLuSc2

=====

Repeat the second record exactly.
Entry from Alexandria: MgNiPt3 after structural relaxation (GGA-PBE).

Structure (POSCAR):
```
MgNiPt3
1.0
4.580 0.000 0.000
0.000 4.580 0.000
0.000 0.000 4.580
Mg Ni Pt
1 1 3
Cartesian
0.000 0.000 0.000
2.290 2.290 2.290
0.000 2.290 2.290
2.290 0.000 2.290
2.290 2.290 0.000
```

Output
The total energy is -4.600 eV/atom. The calculation puts the formation energy at 500 meV/atom. The magnetization comes out at 1.02 μB/f.u. The value obtained for the energy above the most stable polymorph in this dataset is 4.51 eV per formula unit.